(1)
## TbErHg (PBE)

Data for crystalline TbErHg at its relaxed geometry.

```
data_TbErHg
_chemical_formula_sum 'Tb1 Er1 Hg1'
_cell_length_a 5.078
_cell_length_b 5.078
_cell_length_c 5.078
_cell_angle_alpha 60.00
_cell_angle_beta 60.00
_cell_angle_gamma 60.00
_symmetry_space_group_name_H-M 'P 1'
_symmetry_Int_Tables_number 1
loop_
_symmetry_equiv_pos_as_xyz
'x,y,z'
loop_
_atom_site_label
_atom_site_type_symbol
_atom_site_fract_x
_atom_site_fract_y
_atom_site_fract_z
Hg1 Hg 0.000 0.000 0.000
Tb1 Tb 0.750 0.750 0.750
Er1 Er 0.250 0.250 0.250
```

Properties
**Offset from the most stable computed form**: 248 meV per atom
**Space group**: F-43m, No. 216
**ΔH_f (0 K)**: -0.1157 eV per atom

(2)
## PrHIBr (PBE)

Data for crystalline PrHIBr at its relaxed geometry.

```
data_PrHIBr
_chemical_formula_sum 'Pr2 H2 I2 Br2'
_cell_length_a 4.107
_cell_length_b 4.107
_cell_length_c 15.292
_cell_angle_alpha 90.00
_cell_angle_beta 90.00
_cell_angle_gamma 120.00
_symmetry_space_group_name_H-M 'P 1'
_symmetry_Int_Tables_number 1
loop_
_symmetry_equiv_pos_as_xyz
'x,y,z'
loop_
_atom_site_label
_atom_site_type_symbol
_atom_site_fract_x
_atom_site_fract_y
_atom_site_fract_z
Pr1 Pr 0.000 0.000 0.255
I1 I 0.333 0.667 0.611
Br1 Br 0.333 0.667 0.881
Br2 Br 0.667 0.333 0.381
H1 H 0.667 0.333 0.753
I2 I 0.667 0.333 0.111
Pr2 Pr 0.000 0.000 0.755
H2 H 0.333 0.667 0.253
```

Properties
**Total DFT energy (no corrections)**: -0.3101 Ry/atom
**Space group**: P6_3mc, No. 186

(3)
## NpMoBr6Cl4 (PBE)

Data for crystalline NpMoBr6Cl4 at its relaxed geometry.

```
data_NpMoBr6Cl4
_chemical_formula_sum 'Np1 Mo1 Br6 Cl4'
_cell_length_a 6.637
_cell_length_b 7.191
_cell_length_c 9.953
_cell_angle_alpha 108.10
_cell_angle_beta 91.55
_cell_angle_gamma 114.55
_symmetry_space_group_name_H-M 'P 1'
_symmetry_Int_Tables_number 1
loop_
_symmetry_equiv_pos_as_xyz
'x,y,z'
loop_
_atom_site_label
_atom_site_type_symbol
_atom_site_fract_x
_atom_site_fract_y
_atom_site_fract_z
Cl1 Cl 0.719 0.995 0.771
Br1 Br 0.446 0.579 0.339
Br2 Br 0.575 0.439 0.661
Br3 Br 0.059 0.805 0.571
Cl2 Cl 0.881 0.386 0.150
Np1 Np 0.095 0.198 0.202
Cl3 Cl 0.108 0.646 0.862
Br4 Br 0.923 0.183 0.438
Mo1 Mo 0.898 0.787 0.784
Br5 Br 0.253 0.183 0.940
Cl4 Cl 0.306 0.003 0.248
Br6 Br 0.735 0.794 0.035
```

Properties
**Total DFT energy (no corrections)**: -0.3180 Ry/atom
**Space group**: P1, No. 1

(4)
## GdAlHg2 (PBE)

Data for crystalline GdAlHg2 at its relaxed geometry.

```
data_GdAlHg2
_chemical_formula_sum 'Gd2 Al2 Hg4'
_cell_length_a 4.863
_cell_length_b 6.564
_cell_length_c 6.564
_cell_angle_alpha 60.82
_cell_angle_beta 90.00
_cell_angle_gamma 90.00
_symmetry_space_group_name_H-M 'P 1'
_symmetry_Int_Tables_number 1
loop_
_symmetry_equiv_pos_as_xyz
'x,y,z'
loop_
_atom_site_label
_atom_site_type_symbol
_atom_site_fract_x
_atom_site_fract_y
_atom_site_fract_z
Hg1 Hg 0.500 0.178 0.676
Hg2 Hg 0.500 0.165 0.165
Al1 Al 0.000 0.854 0.294
Hg3 Hg 0.500 0.676 0.178
Hg4 Hg 0.000 0.834 0.834
Gd1 Gd 0.500 0.665 0.665
Al2 Al 0.000 0.294 0.854
Gd2 Gd 0.000 0.333 0.333
```

Properties
**Offset from the most stable computed form**: 0 meV per atom
**Space group**: Amm2, No. 38

(5)
## LiOsAu3S4 (PBE)

Data for crystalline LiOsAu3S4 at its relaxed geometry.

```
data_LiOsAu3S4
_chemical_formula_sum 'Li1 Os1 Au3 S4'
_cell_length_a 5.871
_cell_length_b 5.871
_cell_length_c 5.871
_cell_angle_alpha 90.00
_cell_angle_beta 90.00
_cell_angle_gamma 90.00
_symmetry_space_group_name_H-M 'P 1'
_symmetry_Int_Tables_number 1
loop_
_symmetry_equiv_pos_as_xyz
'x,y,z'
loop_
_atom_site_label
_atom_site_type_symbol
_atom_site_fract_x
_atom_site_fract_y
_atom_site_fract_z
Au1 Au 0.500 0.000 0.500
S1 S 0.260 0.260 0.260
Au2 Au 0.000 0.500 0.500
S2 S 0.740 0.260 0.740
Au3 Au 0.500 0.500 0.000
S3 S 0.260 0.740 0.740
Os1 Os 0.500 0.500 0.500
S4 S 0.740 0.740 0.260
Li1 Li 0.000 0.000 0.000
```

Properties
**Total DFT energy (no corrections)**: -0.3084 Ry/atom
**Space group**: P-43m, No. 215

(6)
## HfGaCuRe (PBE)

Data for crystalline HfGaCuRe at its relaxed geometry.

```
data_HfGaCuRe
_chemical_formula_sum 'Hf1 Ga1 Cu1 Re1'
_cell_length_a 4.473
_cell_length_b 4.473
_cell_length_c 4.473
_cell_angle_alpha 60.00
_cell_angle_beta 60.00
_cell_angle_gamma 60.00
_symmetry_space_group_name_H-M 'P 1'
_symmetry_Int_Tables_number 1
loop_
_symmetry_equiv_pos_as_xyz
'x,y,z'
loop_
_atom_site_label
_atom_site_type_symbol
_atom_site_fract_x
_atom_site_fract_y
_atom_site_fract_z
Cu1 Cu 0.750 0.750 0.750
Ga1 Ga 0.000 0.000 0.000
Hf1 Hf 0.500 0.500 0.500
Re1 Re 0.250 0.250 0.250
```

Properties
**Offset from the most stable computed form**: 0 meV per atom
**Space group**: F-43m, No. 216